Here is a relaxed VO2 crystal from Alexandria via LeMat-Bulk. Energies are from PBE+U.

Properties
Total magnetic moment: 5.00 Bohr magnetons per cell
Raw total energy: -7.739 eV/atom

a b c (Å): 5.353 5.410 7.248
angles (deg): 82.45 70.11 63.00
Space group P-1 (No. 2)
Inequivalent atoms, fractional coordinates:
V 0.000 0.000 0.000
V 0.213 0.497 0.611
V 0.408 0.009 0.219
O 0.048 0.759 0.807
O 0.192 0.188 0.786
O 0.220 0.296 0.399
O 0.383 0.710 0.407
O 0.409 0.815 0.011